No. 1
# GGA-PBE TmBeAsO, relaxed
data_TmBeAsO
_chemical_formula_sum 'Tm2 Be2 As2 O2'
_cell_length_a 3.771
_cell_length_b 3.771
_cell_length_c 8.508
_cell_angle_alpha 90.00
_cell_angle_beta 90.00
_cell_angle_gamma 90.00
_symmetry_space_group_name_H-M 'P 4/n m m'
_symmetry_Int_Tables_number 129
loop_
_symmetry_equiv_pos_as_xyz
'x,y,z'
'-x,-y,-z'
'-y+1/2,x,z'
'y+1/2,-x,-z'
'-x+1/2,-y+1/2,z'
'x+1/2,y+1/2,-z'
'y,-x+1/2,z'
'-y,x+1/2,-z'
'x+1/2,-y,-z'
'-x+1/2,y,z'
'-y,-x,-z'
'y,x,z'
'-x,y+1/2,-z'
'x,-y+1/2,z'
'y+1/2,x+1/2,-z'
'-y+1/2,-x+1/2,z'
loop_
_atom_site_label
_atom_site_type_symbol
_atom_site_fract_x
_atom_site_fract_y
_atom_site_fract_z
Tm1 Tm 0.250 0.250 0.131
Be1 Be 0.250 0.750 0.500
As1 As 0.250 0.250 0.660
O1 O 0.250 0.750 0.000
# - Crystal system: tetragonal
# - Energy above the lowest structure with this stoichiometry: 0 meV/atom

---

No. 2
# GGA-PBE TmBeAsO, relaxed
data_TmBeAsO
_chemical_formula_sum 'Tm2 Be2 As2 O2'
_cell_length_a 3.053
_cell_length_b 5.471
_cell_length_c 6.908
_cell_angle_alpha 90.00
_cell_angle_beta 90.00
_cell_angle_gamma 90.00
_symmetry_space_group_name_H-M 'P m c 21'
_symmetry_Int_Tables_number 26
_symmetry_space_group_name_Hall 'P 2c -2'
loop_
_atom_site_label
_atom_site_type_symbol
_atom_site_fract_x
_atom_site_fract_y
_atom_site_fract_z
Tm1 Tm 0.000 0.145 0.000
Be1 Be 0.500 0.302 0.353
As1 As 0.500 0.344 0.677
O1 O 0.000 0.178 0.313
# - Crystal system: orthorhombic
# - Energy above the lowest structure with this stoichiometry: 305 meV/atom

---

No. 3
# GGA-PBE TmBeAsO, relaxed
data_TmBeAsO
_chemical_formula_sum 'Tm2 Be2 As2 O2'
_cell_length_a 4.131
_cell_length_b 5.892
_cell_length_c 5.482
_cell_angle_alpha 90.00
_cell_angle_beta 90.00
_cell_angle_gamma 90.00
_symmetry_space_group_name_H-M 'P m c 21'
_symmetry_Int_Tables_number 26
_symmetry_space_group_name_Hall 'P 2c -2'
loop_
_atom_site_label
_atom_site_type_symbol
_atom_site_fract_x
_atom_site_fract_y
_atom_site_fract_z
Tm1 Tm 0.000 0.248 0.000
Be1 Be 0.500 0.106 0.640
As1 As 0.000 0.270 0.507
O1 O 0.500 0.118 0.954
# - Crystal system: orthorhombic
# - Energy above the lowest structure with this stoichiometry: 32 meV/atom

---

No. 4
# GGA-PBE TmBeAsO, relaxed
data_TmBeAsO
_chemical_formula_sum 'Tm2 Be2 As2 O2'
_cell_length_a 3.873
_cell_length_b 3.873
_cell_length_c 9.516
_cell_angle_alpha 90.00
_cell_angle_beta 90.00
_cell_angle_gamma 90.00
_symmetry_space_group_name_H-M 'P 4/n m m'
_symmetry_Int_Tables_number 129
loop_
_symmetry_equiv_pos_as_xyz
'x,y,z'
'-x,-y,-z'
'-y+1/2,x,z'
'y+1/2,-x,-z'
'-x+1/2,-y+1/2,z'
'x+1/2,y+1/2,-z'
'y,-x+1/2,z'
'-y,x+1/2,-z'
'x+1/2,-y,-z'
'-x+1/2,y,z'
'-y,-x,-z'
'y,x,z'
'-x,y+1/2,-z'
'x,-y+1/2,z'
'y+1/2,x+1/2,-z'
'-y+1/2,-x+1/2,z'
loop_
_atom_site_label
_atom_site_type_symbol
_atom_site_fract_x
_atom_site_fract_y
_atom_site_fract_z
Tm1 Tm 0.250 0.750 0.000
Be1 Be 0.250 0.250 0.493
As1 As 0.250 0.250 0.207
O1 O 0.250 0.750 0.500
# - Crystal system: tetragonal
# - Energy above the lowest structure with this stoichiometry: 1340 meV/atom